FeSbMo4N2 after structural relaxation. Source: the Open Quantum Materials Database, functional PBE-GGA.

Computed properties:
ρ (Mg/m³): 8.8
SG: P-6m2
Raw total energy (eV/cell): -71.25
Energy above the most stable polymorph in this dataset (eV/f.u.): 0.00

abc: 3.1638 3.1638 12.7800
angles: 90.00 90.00 120.00
Last column: nearest neighbours and their distance in Å.
Fractional positions:
Fe 0.0000 0.0000 0.5000  6 Mo 2.68
Mo 0.0000 0.0000 0.1781  3 N 2.10
Mo 0.3333 0.6667 0.3466  3 N 2.14
Mo 0.3333 0.6667 0.6534  3 N 2.14
Mo 0.0000 0.0000 0.8219  3 N 2.10
N 0.6667 0.3333 0.2590  6 Mo 2.10-2.14
N 0.6667 0.3333 0.7410  6 Mo 2.10-2.14
Sb 0.3333 0.6667 0.0000  6 Mo 2.92, 6 Sb 3.16

Sc4Fe3Mo2N3 after structural relaxation. Source: the Open Quantum Materials Database, functional PBE-GGA.

Computed properties:
ρ (Mg/m³): 6.1
SG: C2/c
Raw total energy (eV/cell): -204.27

abc: 5.2105 5.2105 13.8781
angles: 101.35 101.35 59.38
Last column: nearest neighbours and their distance in Å.
Fractional positions:
Fe 0.5864 0.9116 0.2498  4 Fe 2.58-2.62, 4 Sc 2.65-2.68
Fe 0.0889 0.9111 0.2500  4 Fe 2.59-2.62, 4 Sc 2.66-2.69
Fe 0.0884 0.4136 0.2502  4 Fe 2.58-2.62, 4 Sc 2.65-2.68
Fe 0.9116 0.5864 0.7498  4 Fe 2.58-2.62, 4 Sc 2.65-2.68
Fe 0.9111 0.0889 0.7500  4 Fe 2.59-2.62, 4 Sc 2.66-2.69
Fe 0.4136 0.0884 0.7502  4 Fe 2.58-2.62, 4 Sc 2.65-2.68
Mo 0.5455 0.3813 0.1284  3 N 2.38-2.47
Mo 0.6187 0.4545 0.3716  3 N 2.38-2.47
Mo 0.3813 0.5455 0.6284  3 N 2.38-2.47
Mo 0.4545 0.6187 0.8716  3 N 2.38-2.47
N 0.5000 0.0000 0.0000  4 Sc 2.08-2.09
N 0.8089 0.3460 0.0002  4 Sc 2.09-2.19
N 0.6540 0.1911 0.4998  4 Sc 2.09-2.19
N 0.0000 0.5000 0.5000  4 Sc 2.08-2.09
N 0.3460 0.8089 0.5002  4 Sc 2.09-2.19
N 0.1911 0.6540 0.9998  4 Sc 2.09-2.19
Sc 0.2007 0.0246 0.0869  3 N 2.09-2.18
Sc 0.8617 0.6956 0.0872  3 N 2.08-2.19
Sc 0.3044 0.1383 0.4128  3 N 2.08-2.19
Sc 0.9754 0.7993 0.4131  3 N 2.09-2.18
Sc 0.0246 0.2007 0.5869  3 N 2.09-2.18
Sc 0.6956 0.8617 0.5872  3 N 2.08-2.19
Sc 0.1383 0.3044 0.9128  3 N 2.08-2.19
Sc 0.7993 0.9753 0.9131  3 N 2.09-2.18

Ta4Fe3Mo2N3 after structural relaxation. Source: the Open Quantum Materials Database, functional PBE-GGA.

Computed properties:
ρ (Mg/m³): 12.4
SG: C2/c
Raw total energy (eV/cell): -246.07

abc: 5.1561 5.1561 13.5147
angles: 100.97 100.97 59.62
Last column: nearest neighbours and their distance in Å.
Fractional positions:
Fe 0.4144 0.0603 0.2492  4 Ta 2.53-2.54, 4 Fe 2.57-2.59
Fe 0.8910 0.1090 0.2500  4 Ta 2.54-2.55, 4 Fe 2.58-2.59
Fe 0.9397 0.5856 0.2508  4 Ta 2.53-2.54, 4 Fe 2.57-2.59
Fe 0.0603 0.4144 0.7492  4 Ta 2.53-2.54, 4 Fe 2.57-2.59
Fe 0.1090 0.8910 0.7500  4 Ta 2.54-2.55, 4 Fe 2.58-2.59
Fe 0.5856 0.9397 0.7508  4 Ta 2.53-2.54, 4 Fe 2.57-2.59
Mo 0.3830 0.5459 0.1312  3 N 2.35-2.47
Mo 0.4541 0.6170 0.3688  3 N 2.35-2.47
Mo 0.5459 0.3830 0.6312  3 N 2.35-2.47
Mo 0.6170 0.4541 0.8688  3 N 2.35-2.47
N 0.0000 0.5000 0.0000  4 Ta 2.11
N 0.3471 0.8066 0.0001  4 Ta 2.11-2.22, 2 Mo 2.35
N 0.1934 0.6529 0.4999  4 Ta 2.11-2.22, 2 Mo 2.35
N 0.5000 0.0000 0.5000  4 Ta 2.11
N 0.8066 0.3471 0.5001  4 Ta 2.11-2.22, 2 Mo 2.35
N 0.6529 0.1934 0.9999  4 Ta 2.11-2.22, 2 Mo 2.35
Ta 0.0249 0.2038 0.0942  3 N 2.11-2.22
Ta 0.6977 0.8626 0.0944  3 N 2.11-2.22
Ta 0.1374 0.3023 0.4056  3 N 2.11-2.22
Ta 0.7962 0.9751 0.4058  3 N 2.11-2.22
Ta 0.2038 0.0249 0.5942  3 N 2.11-2.22
Ta 0.8626 0.6977 0.5944  3 N 2.11-2.22
Ta 0.3023 0.1374 0.9056  3 N 2.11-2.22
Ta 0.9751 0.7962 0.9058  3 N 2.11-2.22

Fe3Mo2W4N3 after structural relaxation. Source: the Open Quantum Materials Database, functional PBE-GGA.

Computed properties:
ρ (Mg/m³): 12.9
SG: C2/c
Raw total energy (eV/cell): -247.48

abc: 4.9267 4.9267 14.1538
angles: 100.55 100.55 60.48
Last column: nearest neighbours and their distance in Å.
Fractional positions:
Fe 0.5856 0.9215 0.2497  4 Fe 2.46-2.48, 4 W 2.60-2.62, 2 Mo 2.71-2.72
Fe 0.0913 0.9087 0.2500  4 Fe 2.46-2.47, 4 W 2.62, 2 Mo 2.74
Fe 0.0785 0.4144 0.2503  4 Fe 2.46-2.48, 4 W 2.60-2.62, 2 Mo 2.71-2.72
Fe 0.9215 0.5856 0.7497  4 Fe 2.46-2.48, 4 W 2.60-2.62, 2 Mo 2.71-2.72
Fe 0.9087 0.0913 0.7500  4 Fe 2.46-2.47, 4 W 2.62, 2 Mo 2.74
Fe 0.4144 0.0785 0.7503  4 Fe 2.46-2.48, 4 W 2.60-2.62, 2 Mo 2.71-2.72
Mo 0.5552 0.3821 0.1625  1 Mo 2.42, 1 Fe 2.71
Mo 0.6179 0.4448 0.3375  1 Mo 2.42, 1 Fe 2.71
Mo 0.3821 0.5552 0.6625  1 Mo 2.42, 1 Fe 2.71
Mo 0.4448 0.6179 0.8375  1 Mo 2.42, 1 Fe 2.71
N 0.5000 0.0000 0.0000  4 W 2.08-2.09
N 0.1707 0.6640 0.0010  4 W 2.04-2.13
N 0.3360 0.8293 0.4990  4 W 2.04-2.13
N 0.0000 0.5000 0.5000  4 W 2.08-2.09
N 0.6640 0.1707 0.5010  4 W 2.04-2.13
N 0.8293 0.3360 0.9990  4 W 2.04-2.13
W 0.2015 0.0239 0.0917  3 N 2.04-2.13
W 0.8580 0.6929 0.0920  3 N 2.04-2.12
W 0.3071 0.1420 0.4080  3 N 2.04-2.12
W 0.9761 0.7985 0.4083  3 N 2.04-2.13
W 0.0239 0.2015 0.5917  3 N 2.04-2.13
W 0.6929 0.8580 0.5920  3 N 2.04-2.12
W 0.1420 0.3071 0.9080  3 N 2.04-2.12
W 0.7985 0.9761 0.9083  3 N 2.04-2.13

Zr4Fe3Mo2N3 after structural relaxation. Source: the Open Quantum Materials Database, functional PBE-GGA.

Computed properties:
ρ (Mg/m³): 7.6
SG: C2/c
Raw total energy (eV/cell): -219.62

abc: 5.3480 5.3480 13.9869
angles: 100.98 100.98 59.29
Last column: nearest neighbours and their distance in Å.
Fractional positions:
Fe 0.4143 0.0639 0.2494  4 Zr 2.63-2.66, 4 Fe 2.65-2.69
Fe 0.8951 0.1049 0.2500  4 Zr 2.65-2.66, 4 Fe 2.67-2.69
Fe 0.9361 0.5857 0.2506  4 Zr 2.63-2.66, 4 Fe 2.65-2.69
Fe 0.0639 0.4143 0.7494  4 Zr 2.63-2.66, 4 Fe 2.65-2.69
Fe 0.1049 0.8951 0.7500  4 Zr 2.65-2.66, 4 Fe 2.67-2.69
Fe 0.5857 0.9361 0.7506  4 Zr 2.63-2.66, 4 Fe 2.65-2.69
Mo 0.3854 0.5472 0.1298  3 N 2.41-2.56
Mo 0.4528 0.6146 0.3702  3 N 2.41-2.56
Mo 0.5472 0.3854 0.6298  3 N 2.41-2.56
Mo 0.6146 0.4528 0.8702  3 N 2.41-2.56
N 0.0000 0.5000 0.0000  4 Zr 2.17
N 0.3471 0.8083 0.0004  4 Zr 2.16-2.28, 1 Mo 2.41
N 0.1917 0.6529 0.4996  4 Zr 2.16-2.28, 1 Mo 2.41
N 0.5000 0.0000 0.5000  4 Zr 2.17
N 0.8083 0.3471 0.5004  4 Zr 2.16-2.28, 1 Mo 2.41
N 0.6529 0.1917 0.9996  4 Zr 2.16-2.28, 1 Mo 2.41
Zr 0.0215 0.2035 0.0917  3 N 2.16-2.28
Zr 0.6954 0.8628 0.0925  3 N 2.17-2.28
Zr 0.1372 0.3046 0.4075  3 N 2.17-2.28
Zr 0.7965 0.9785 0.4083  3 N 2.16-2.28
Zr 0.2035 0.0215 0.5917  3 N 2.16-2.28
Zr 0.8628 0.6954 0.5925  3 N 2.17-2.28
Zr 0.3046 0.1372 0.9075  3 N 2.17-2.28
Zr 0.9785 0.7965 0.9083  3 N 2.16-2.28

NaFeMo after structural relaxation. Source: the Open Quantum Materials Database, functional PBE-GGA.

Computed properties:
ρ (Mg/m³): 5.8
SG: F-43m
Raw total energy (eV/cell): -16.45
Energy above the most stable polymorph in this dataset (eV/f.u.): 0.00

abc: 4.1333 4.1333 4.1333
angles: 60.00 60.00 60.00
Last column: nearest neighbours and their distance in Å.
Fractional positions:
Fe 0.0000 0.0000 0.0000  4 Na 2.53, 4 Mo 2.53
Mo 0.2500 0.2500 0.2500  4 Fe 2.53
Na 0.7500 0.7500 0.7500  4 Fe 2.53

NaTlFeMo after structural relaxation. Source: the Open Quantum Materials Database, functional PBE-GGA.

Computed properties:
ρ (Mg/m³): 9.8
SG: F-43m
Raw total energy (eV/cell): -19.64
Energy above the most stable polymorph in this dataset (eV/f.u.): 0.00

abc: 4.4907 4.4907 4.4907
angles: 60.00 60.00 60.00
Last column: nearest neighbours and their distance in Å.
Fractional positions:
Fe 0.2500 0.2500 0.2500  4 Mo 2.75, 4 Tl 2.75
Mo 0.0000 0.0000 0.0000  4 Fe 2.75, 4 Na 2.75
Na 0.7500 0.7500 0.7500  4 Mo 2.75, 4 Tl 2.75
Tl 0.5000 0.5000 0.5000  4 Fe 2.75, 4 Na 2.75

NaTlFeMo after structural relaxation. Source: the Open Quantum Materials Database, functional PBE-GGA.

Computed properties:
ρ (Mg/m³): 8.8
SG: F-43m
Raw total energy (eV/cell): -19.59
Energy above the most stable polymorph in this dataset (eV/f.u.): 0.05

abc: 4.6610 4.6610 4.6610
angles: 60.00 60.00 60.00
Last column: nearest neighbours and their distance in Å.
Fractional positions:
Fe 0.0000 0.0000 0.0000  4 Mo 2.85, 4 Na 2.85
Mo 0.2500 0.2500 0.2500  4 Tl 2.85, 4 Fe 2.85
Na 0.7500 0.7500 0.7500  4 Tl 2.85, 4 Fe 2.85
Tl 0.5000 0.5000 0.5000  4 Na 2.85, 4 Mo 2.85

NbFeMo after structural relaxation. Source: the Open Quantum Materials Database, functional PBE-GGA.

Computed properties:
ρ (Mg/m³): 8.2
SG: F-43m
Raw total energy (eV/cell): -27.85
Energy above the most stable polymorph in this dataset (eV/f.u.): 0.00

abc: 4.1246 4.1246 4.1246
angles: 60.00 60.00 60.00
Last column: nearest neighbours and their distance in Å.
Fractional positions:
Fe 0.0000 0.0000 0.0000  4 Nb 2.53, 4 Mo 2.53
Mo 0.2500 0.2500 0.2500  4 Fe 2.53
Nb 0.7500 0.7500 0.7500  4 Fe 2.53

NbFe2Mo after structural relaxation. Source: the Open Quantum Materials Database, functional PBE-GGA.

Computed properties:
ρ (Mg/m³): 8.9
SG: F-43m
Raw total energy (eV/cell): -37.01

abc: 4.2953 4.2953 4.2953
angles: 60.00 60.00 60.00
Last column: nearest neighbours and their distance in Å.
Fractional positions:
Fe 0.0000 0.0000 0.0000  4 Fe 2.63, 4 Nb 2.63
Fe 0.2500 0.2500 0.2500  4 Fe 2.63, 4 Mo 2.63
Mo 0.5000 0.5000 0.5000  4 Nb 2.63, 4 Fe 2.63
Nb 0.7500 0.7500 0.7500  4 Mo 2.63, 4 Fe 2.63

What is the raw total energy in the third record?
-246.07 eV/cell